Computed, not measured: an optimized crystal structure of Co5Rh at the GGA-PBEsol level of DFT.

Geometry as POSCAR:
```
Co5Rh
1.0
-0.132 2.403 -0.785
-2.130 -0.067 4.230
5.722 0.726 1.262
Co Rh
5 1
Direct
0.998 0.997 0.006
0.052 0.105 0.602
0.391 0.783 0.284
0.667 0.335 0.340
0.337 0.675 0.661
0.720 0.440 0.941
```

E_tot in eV for the cell shown: -46.6
Volume in Å³ per cell: 65.94
Formation enthalpy at 0 K in meV per atom: 35
Space-group type: Cm